# Rb5AgIO2 PBE-GGA optimized geometry
data_Rb5AgIO2
_chemical_formula_sum 'Rb5 Ag1 I1 O2'
_space_group_name_H-M_alt 'P 1'
_space_group_IT_number 1
_cell_length_a 5.804
_cell_length_b 5.804
_cell_length_c 9.751
_cell_angle_alpha 90.00
_cell_angle_beta 90.00
_cell_angle_gamma 90.00
loop_
_space_group_symop_operation_xyz
'x,y,z'
loop_
_atom_site_label
_atom_site_type_symbol
_atom_site_fract_x
_atom_site_fract_y
_atom_site_fract_z
Rb1 Rb 0.000 0.000 0.000
Rb2 Rb 0.000 0.500 0.290
Rb3 Rb 0.000 0.500 0.710
Rb4 Rb 0.500 0.000 0.290
Rb5 Rb 0.500 0.000 0.710
Ag1 Ag 0.000 0.000 0.500
I1 I 0.500 0.500 0.000
O1 O 0.000 0.000 0.285
O2 O 0.000 0.000 0.715
# Space group: P4/mmm
# Electronic total energy (eV/cell): -27.5
# Size of the total moment (μB/cell): 0.652
# Crystal system: tetragonal
# Formation energy from raw total energies (kJ/mol of atoms): -89.38

# InSnGe2 PBE-GGA optimized geometry
data_InSnGe2
_chemical_formula_sum 'In2 Sn2 Ge4'
_space_group_name_H-M_alt 'P 1'
_space_group_IT_number 1
_cell_length_a 7.543
_cell_length_b 7.543
_cell_length_c 7.543
_cell_angle_alpha 130.87
_cell_angle_beta 130.87
_cell_angle_gamma 72.02
loop_
_space_group_symop_operation_xyz
'x,y,z'
loop_
_atom_site_label
_atom_site_type_symbol
_atom_site_fract_x
_atom_site_fract_y
_atom_site_fract_z
In1 In 0.000 0.000 0.000
In2 In 0.750 0.250 0.500
Sn1 Sn 0.250 0.750 0.500
Sn2 Sn 0.500 0.500 0.000
Ge1 Ge 0.126 0.625 0.001
Ge2 Ge 0.375 0.376 0.501
Ge3 Ge 0.624 0.125 0.999
Ge4 Ge 0.875 0.874 0.499
# Space group: I-42d
# Formation energy (meV per atom): 140
# Electronic total energy (eV/cell): -30.8
# Size of the total moment (μB/cell): 0.000
# Crystal system: tetragonal
# Distance to the lowest polymorph of the same formula (meV/atom): 0.0

# TmPaAl2O8 PBE-GGA optimized geometry
data_TmPaAl2O8
_chemical_formula_sum 'Tm1 Pa1 Al2 O8'
_space_group_name_H-M_alt 'P 1'
_space_group_IT_number 1
_cell_length_a 5.882
_cell_length_b 5.882
_cell_length_c 5.882
_cell_angle_alpha 107.94
_cell_angle_beta 107.94
_cell_angle_gamma 112.58
loop_
_space_group_symop_operation_xyz
'x,y,z'
loop_
_atom_site_label
_atom_site_type_symbol
_atom_site_fract_x
_atom_site_fract_y
_atom_site_fract_z
Tm1 Tm 0.000 0.000 0.000
Pa1 Pa 0.750 0.250 0.500
Al1 Al 0.250 0.750 0.500
Al2 Al 0.500 0.500 0.000
O1 O 0.065 0.381 0.316
O2 O 0.065 0.749 0.684
O3 O 0.128 0.317 0.811
O4 O 0.251 0.935 0.316
O5 O 0.506 0.317 0.189
O6 O 0.619 0.935 0.684
O7 O 0.683 0.494 0.811
O8 O 0.683 0.872 0.189
# Space group: I-4m2
# Electronic total energy (eV/cell): -95.5
# Size of the total moment (μB/cell): 1.368
# Crystal system: tetragonal
# Formation energy from raw total energies (kJ/mol of atoms): -276.32

# ZnCuNi2N PBE-GGA optimized geometry
data_ZnCuNi2N
_chemical_formula_sum 'Zn1 Cu1 Ni2 N1'
_space_group_name_H-M_alt 'P 1'
_space_group_IT_number 1
_cell_length_a 3.757
_cell_length_b 3.757
_cell_length_c 3.964
_cell_angle_alpha 90.00
_cell_angle_beta 90.00
_cell_angle_gamma 90.00
loop_
_space_group_symop_operation_xyz
'x,y,z'
loop_
_atom_site_label
_atom_site_type_symbol
_atom_site_fract_x
_atom_site_fract_y
_atom_site_fract_z
Zn1 Zn 0.000 0.000 0.000
Cu1 Cu 0.500 0.500 0.000
Ni1 Ni 0.000 0.500 0.500
Ni2 Ni 0.500 0.000 0.500
N1 N 0.000 0.000 0.500
# Space group: P4/mmm
# Electronic total energy (eV/cell): -24.7
# Size of the total moment (μB/cell): 0.000
# Crystal system: tetragonal
# Formation energy from raw total energies (kJ/mol of atoms): 11.62
# Distance to the lowest polymorph of the same formula (meV/atom): 130.7

# Ti2GaAgN PBE-GGA optimized geometry
data_Ti2GaAgN
_chemical_formula_sum 'Ti2 Ga1 Ag1 N1'
_space_group_name_H-M_alt 'P 1'
_space_group_IT_number 1
_cell_length_a 4.985
_cell_length_b 4.985
_cell_length_c 3.617
_cell_angle_alpha 90.00
_cell_angle_beta 90.00
_cell_angle_gamma 90.00
loop_
_space_group_symop_operation_xyz
'x,y,z'
loop_
_atom_site_label
_atom_site_type_symbol
_atom_site_fract_x
_atom_site_fract_y
_atom_site_fract_z
Ti1 Ti 0.000 0.500 0.000
Ti2 Ti 0.500 0.000 0.000
Ga1 Ga 0.000 0.000 0.000
Ag1 Ag 0.500 0.500 0.500
N1 N 0.000 0.000 0.500
# Space group: P4/mmm
# Electronic total energy (eV/cell): -24.9
# Size of the total moment (μB/cell): 0.625
# Crystal system: tetragonal
# Formation energy from raw total energies (kJ/mol of atoms): 97.86

# TbDy5Tm2 PBE-GGA optimized geometry
data_TbDy5Tm2
_chemical_formula_sum 'Tb2 Dy10 Tm4'
_space_group_name_H-M_alt 'P 1'
_space_group_IT_number 1
_cell_length_a 6.652
_cell_length_b 9.121
_cell_length_c 9.129
_cell_angle_alpha 86.27
_cell_angle_beta 72.37
_cell_angle_gamma 72.39
loop_
_space_group_symop_operation_xyz
'x,y,z'
loop_
_atom_site_label
_atom_site_type_symbol
_atom_site_fract_x
_atom_site_fract_y
_atom_site_fract_z
Tb1 Tb 0.126 0.229 0.396
Tb2 Tb 0.874 0.771 0.604
Dy1 Dy 0.124 0.896 0.231
Dy2 Dy 0.126 0.728 0.896
Dy3 Dy 0.374 0.022 0.854
Dy4 Dy 0.375 0.354 0.020
Dy5 Dy 0.375 0.522 0.355
Dy6 Dy 0.625 0.478 0.645
Dy7 Dy 0.625 0.646 0.980
Dy8 Dy 0.626 0.978 0.146
Dy9 Dy 0.874 0.272 0.104
Dy10 Dy 0.876 0.104 0.769
Tm1 Tm 0.125 0.396 0.728
Tm2 Tm 0.376 0.854 0.521
Tm3 Tm 0.624 0.146 0.479
Tm4 Tm 0.875 0.604 0.272
# Space group: P-1
# Formation energy (meV per atom): 6
# Electronic total energy (eV/cell): -73.1
# Size of the total moment (μB/cell): 0.000
# Crystal system: triclinic
# Distance to the lowest polymorph of the same formula (meV/atom): 0.0

# NaUO3 PBE-GGA optimized geometry
data_NaUO3
_chemical_formula_sum 'Na1 U1 O3'
_space_group_name_H-M_alt 'P 1'
_space_group_IT_number 1
_cell_length_a 4.292
_cell_length_b 4.292
_cell_length_c 4.292
_cell_angle_alpha 90.00
_cell_angle_beta 90.00
_cell_angle_gamma 90.00
loop_
_space_group_symop_operation_xyz
'x,y,z'
loop_
_atom_site_label
_atom_site_type_symbol
_atom_site_fract_x
_atom_site_fract_y
_atom_site_fract_z
Na1 Na 0.000 0.000 0.000
U1 U 0.500 0.500 0.500
O1 O 0.000 0.500 0.500
O2 O 0.500 0.000 0.500
O3 O 0.500 0.500 0.000
# Space group: Pm-3m
# Electronic total energy (eV/cell): -41.5
# Size of the total moment (μB/cell): 1.000
# Crystal system: cubic
# Formation energy from raw total energies (kJ/mol of atoms): -271.32

# TaMnIn2 PBE-GGA optimized geometry
data_TaMnIn2
_chemical_formula_sum 'Ta1 Mn1 In2'
_space_group_name_H-M_alt 'P 1'
_space_group_IT_number 1
_cell_length_a 5.378
_cell_length_b 5.378
_cell_length_c 5.378
_cell_angle_alpha 135.13
_cell_angle_beta 135.13
_cell_angle_gamma 65.33
loop_
_space_group_symop_operation_xyz
'x,y,z'
loop_
_atom_site_label
_atom_site_type_symbol
_atom_site_fract_x
_atom_site_fract_y
_atom_site_fract_z
Ta1 Ta 0.000 0.000 0.000
Mn1 Mn 0.750 0.250 0.500
In1 In 0.250 0.750 0.500
In2 In 0.500 0.500 0.000
# Space group: I-4m2
# Formation energy (meV per atom): 323
# Electronic total energy (eV/cell): -25.2
# Size of the total moment (μB/cell): 3.166
# Crystal system: tetragonal
# Distance to the lowest polymorph of the same formula (meV/atom): 129.9